Computed, not measured: NiAgF after structural relaxation at the GGA+U level of DFT.

Cell: 2.946 4.798 7.716 Å, 113.94 121.94 90.46°
Each line ends with the local moment (μB).
Fractional positions:
Ni 0.844 0.412 0.749  1.06
Ni 0.156 0.588 0.251  1.06
F 0.240 0.263 0.001  0.02
F 0.760 0.737 0.999  0.02
Ag 0.202 0.842 0.639  -0.01
Ag 0.798 0.158 0.361  -0.01

Results
- energy (eV/atom) = -2.97